This record from Alexandria describes crystalline Nd5TlS4 at its relaxed geometry. The functional is GGA-PBE.

The value obtained for the raw total energy is -5.9216 eV/atom.

The space group is C2/m (No. 12) and the conventional cell measures 13.876, 4.105 and 10.348 Å, with angles of 90.00, 119.94 and 90.00 degrees. The asymmetric unit holds Nd at (0.000, 0.000, 0.000), Nd at (0.114, 0.500, 0.391), Nd at (0.204, 0.000, 0.815), Tl at (0.000, 0.000, 0.500), S at (0.095, 0.500, 0.899) and S at (0.203, 0.000, 0.289).